(1)
! Na2CaInBi2 (PBE-GGA, optimized geometry); values from VASP
! ΔE_f	-0.429	eV per atom
! DOS at the Fermi energy	0.30	states/eV/atom
! magnetic moment	0.00	μB/cell
! total energy	-2.95	eV/atom
! crystal system	orthorhombic
&SYSTEM
  ibrav = 0, nat = 12, ntyp = 4
/
ATOMIC_SPECIES
Na 22.99 Na.upf
Ca 40.08 Ca.upf
In 114.82 In.upf
Bi 208.98 Bi.upf
CELL_PARAMETERS angstrom
4.8736 0.0000 0.0000
0.0000 9.7229 0.0000
0.0000 0.0000 8.0034
ATOMIC_POSITIONS crystal
Na 0.0000 0.0683 0.0000
Na 0.0000 0.9317 0.5000
Na 0.5000 0.1748 0.3092
Na 0.5000 0.8252 0.8092
Ca 0.5000 0.4409 0.9206
Ca 0.5000 0.5591 0.4206
In 0.0000 0.3087 0.5980
In 0.0000 0.6913 0.0980
Bi 0.0000 0.3793 0.2071
Bi 0.0000 0.6207 0.7071
Bi 0.5000 0.1471 0.7161
Bi 0.5000 0.8529 0.2161

---

(2)
! Ba2TlReRu (PBE-GGA, optimized geometry); values from VASP
! ΔE_f	0.728	eV per atom
! DOS at the Fermi energy	1.17	states/eV/atom
! magnetic moment	0.70	μB/cell
! total energy	-4.86	eV/atom
! crystal system	tetragonal
&SYSTEM
  ibrav = 0, nat = 5, ntyp = 4
/
ATOMIC_SPECIES
Ba 137.33 Ba.upf
Tl 204.38 Tl.upf
Re 186.21 Re.upf
Ru 101.07 Ru.upf
CELL_PARAMETERS angstrom
6.1571 0.0000 0.0000
0.0000 6.1571 0.0000
0.0000 0.0000 4.6557
ATOMIC_POSITIONS crystal
Ba 0.0000 0.5000 0.0000
Ba 0.5000 0.0000 0.0000
Tl 0.0000 0.0000 0.5000
Re 0.5000 0.5000 0.0000
Ru 0.5000 0.5000 0.5000

---

(3)
! KRe2 (PBE-GGA, optimized geometry); values from VASP
! ΔE_f	0.998	eV per atom
! DOS at the Fermi energy	0.96	states/eV/atom
! energy above the lowest structure with this stoichiometry	347	meV per atom
! magnetic moment	0.00	μB/cell
! total energy	-7.67	eV/atom
! crystal system	monoclinic
&SYSTEM
  ibrav = 0, nat = 6, ntyp = 2
/
ATOMIC_SPECIES
K 39.10 K.upf
Re 186.21 Re.upf
CELL_PARAMETERS angstrom
6.9360 -1.4603 0.0000
6.9360 1.4603 0.0000
-1.8199 0.0000 6.8938
ATOMIC_POSITIONS crystal
K 0.0092 0.0092 0.2690
K 0.9908 0.9908 0.7310
Re 0.2746 0.2746 0.3667
Re 0.3017 0.3017 0.9227
Re 0.6983 0.6983 0.0773
Re 0.7254 0.7254 0.6333

---

(4)
! TePt2Rh2 (PBE-GGA, optimized geometry); values from VASP
! raw formation energy	251	meV per atom
! DOS at the Fermi energy	1.44	states/eV/atom
! energy above the lowest structure with this stoichiometry	116	meV per atom
! magnetic moment	1.33	μB/cell
! total energy	-5.73	eV/atom
! crystal system	tetragonal
&SYSTEM
  ibrav = 0, nat = 5, ntyp = 3
/
ATOMIC_SPECIES
Te 127.60 Te.upf
Pt 195.08 Pt.upf
Rh 102.91 Rh.upf
CELL_PARAMETERS angstrom
-1.8346 1.8346 6.7062
1.8346 -1.8346 6.7062
1.8346 1.8346 -6.7062
ATOMIC_POSITIONS crystal
Te 0.0000 0.0000 0.0000
Pt 0.3980 0.3980 0.0000
Pt 0.6020 0.6020 0.0000
Rh 0.2500 0.7500 0.5000
Rh 0.7500 0.2500 0.5000

---

(5)
! Ba2AlSb2 (PBE-GGA, optimized geometry); values from VASP
! raw formation energy	-768	meV per atom
! DOS at the Fermi energy	0.59	states/eV/atom
! energy above the lowest structure with this stoichiometry	0	meV per atom
! magnetic moment	0.00	μB/cell
! total energy	-3.93	eV/atom
! crystal system	monoclinic
&SYSTEM
  ibrav = 0, nat = 10, ntyp = 3
/
ATOMIC_SPECIES
Ba 137.33 Ba.upf
Al 26.98 Al.upf
Sb 121.76 Sb.upf
CELL_PARAMETERS angstrom
5.0920 -7.1871 0.0000
5.0920 7.1871 0.0000
-4.9682 0.0000 5.0952
ATOMIC_POSITIONS crystal
Ba 0.0556 0.3347 0.1952
Ba 0.3347 0.0556 0.6952
Ba 0.6653 0.9444 0.3048
Ba 0.9444 0.6653 0.8048
Al 0.5003 0.4997 0.2500
Al 0.4997 0.5003 0.7500
Sb 0.1833 0.4078 0.7952
Sb 0.4078 0.1833 0.2952
Sb 0.5922 0.8167 0.7048
Sb 0.8167 0.5922 0.2048

---

(6)
! In2CoPt (PBE-GGA, optimized geometry); values from VASP
! ΔE_f	-0.056	eV per atom
! DOS at the Fermi energy	0.98	states/eV/atom
! energy above the lowest structure with this stoichiometry	66	meV per atom
! magnetic moment	1.02	μB/cell
! total energy	-4.71	eV/atom
! crystal system	monoclinic
&SYSTEM
  ibrav = 0, nat = 4, ntyp = 3
/
ATOMIC_SPECIES
In 114.82 In.upf
Co 58.93 Co.upf
Pt 195.08 Pt.upf
CELL_PARAMETERS angstrom
5.0006 -1.5729 0.0000
5.0006 1.5729 0.0000
-1.4605 0.0000 4.3966
ATOMIC_POSITIONS crystal
In 0.0000 0.0000 0.0000
In 0.2180 0.2180 0.6309
Co 0.4760 0.4760 0.5014
Pt 0.7558 0.7558 0.1572